# 1
Below is a relaxed YHgIr3 crystal, with properties calculated at the GGA-PBE level.

The calculation puts the total moment at 1.6 μB per cell. The density of states at the Fermi level comes out at 1.35 states/eV per atom. The value obtained for the energy above the most stable polymorph in this dataset is 0.494 eV/atom. The energy relative to the elements is 1903 meV/atom.

The space group is Pm-3m (No. 221) and the conventional cell measures 4.9892, 4.9892 and 4.9892 Å, with angles of 90.00, 90.00 and 90.00 degrees. Symmetry generates all atoms from Y at (0.0000, 0.0000, 0.0000), Hg at (0.5000, 0.5000, 0.5000) and Ir at (0.0000, 0.0000, 0.5000).

---

# 2
Below is a relaxed TaBeTe3 crystal, with properties calculated at the GGA-PBE level.

The calculation puts the total moment at 0.0 μB per cell. The density of states at the Fermi level comes out at 0.92 states/eV per atom. The value obtained for the energy above the most stable polymorph in this dataset is 0.000 eV/atom. Its uncorrected formation energy is 16.73 kcal/mol of atoms.

The space group is Pm-3m (No. 221) and the conventional cell measures 5.4096, 5.4096 and 5.4096 Å, with angles of 90.00, 90.00 and 90.00 degrees. Symmetry generates all atoms from Ta at (0.0000, 0.0000, 0.0000), Be at (0.5000, 0.5000, 0.5000) and Te at (0.0000, 0.0000, 0.5000).

---

# 3
Below is a relaxed NdGdMgNi crystal, with properties calculated at the GGA-PBE level.

The calculation puts the total moment at 28.7 μB per cell. The density of states at the Fermi level comes out at 0.96 states/eV per atom. The energy relative to the elements is -65 meV/atom.

The space group is F-43m (No. 216) and the conventional cell measures 7.3028, 7.3028 and 7.3028 Å, with angles of 90.00, 90.00 and 90.00 degrees. Symmetry generates all atoms from Nd at (0.0000, 0.0000, 0.0000), Gd at (0.0000, 0.0000, 0.5000), Mg at (0.2500, 0.2500, 0.7500) and Ni at (0.2500, 0.2500, 0.2500).